1.
# PBE CrN, relaxed
# E_tot = -8.82 eV per atom
# Uncorrected formation energy = 151 meV per atom
# Density = 6.9 g/cm³
data_CrN
_chemical_formula_sum 'Cr1 N1'
_symmetry_space_group_name_H-M 'P m -3 m'
_symmetry_Int_Tables_number 221
_symmetry_space_group_name_Hall '-P 4 2 3'
_cell_length_a 2.511
_cell_length_b 2.511
_cell_length_c 2.511
_cell_angle_alpha 90.00
_cell_angle_beta 90.00
_cell_angle_gamma 90.00
loop_
_atom_site_label
_atom_site_fract_x
_atom_site_fract_y
_atom_site_fract_z
_atom_site_occupancy
Cr1 0.000 0.000 0.000 1
N1 0.500 0.500 0.500 1

***

2.
# PBE Pu3Zn2Pd4, relaxed
# E_tot = -7.81 eV per atom
# Polymorph energy (0 for the lowest one) = 0 meV per atom
# Energy relative to the elements = -437 meV per atom
# Density = 12.0 g/cm³
data_Pu3Zn2Pd4
_chemical_formula_sum 'Pu6 Zn4 Pd8'
_symmetry_space_group_name_H-M 'C 1 2/m 1'
_symmetry_Int_Tables_number 12
_cell_length_a 10.469
_cell_length_b 4.585
_cell_length_c 8.563
_cell_angle_alpha 90.00
_cell_angle_beta 119.65
_cell_angle_gamma 90.00
loop_
_symmetry_equiv_pos_as_xyz
'x,y,z'
'-x,-y,-z'
'-x,y,-z'
'x,-y,z'
'x+1/2,y+1/2,z'
'-x+1/2,-y+1/2,-z'
'-x+1/2,y+1/2,-z'
'x+1/2,-y+1/2,z'
loop_
_atom_site_label
_atom_site_fract_x
_atom_site_fract_y
_atom_site_fract_z
_atom_site_occupancy
Pu1 0.000 0.000 0.000 1
Pu2 0.145 0.500 0.680 1
Zn1 0.154 0.500 0.322 1
Pd1 0.069 0.000 0.389 1
Pd2 0.221 0.500 0.069 1

***

3.
# PBE SmTh4Si4, relaxed
# E_tot = -6.62 eV per atom
# Uncorrected formation energy = -385 meV per atom
# Density = 8.0 g/cm³
data_SmTh4Si4
_chemical_formula_sum 'Sm2 Th8 Si8'
_symmetry_space_group_name_H-M 'P 42/n'
_symmetry_Int_Tables_number 86
_cell_length_a 9.106
_cell_length_b 9.106
_cell_length_c 5.991
_cell_angle_alpha 90.00
_cell_angle_beta 90.00
_cell_angle_gamma 90.00
loop_
_symmetry_equiv_pos_as_xyz
'x,y,z'
'-x,-y,-z'
'-y,x+1/2,z+1/2'
'y,-x+1/2,-z+1/2'
'-x+1/2,-y+1/2,z'
'x+1/2,y+1/2,-z'
'y+1/2,-x,z+1/2'
'-y+1/2,x,-z+1/2'
loop_
_atom_site_label
_atom_site_fract_x
_atom_site_fract_y
_atom_site_fract_z
_atom_site_occupancy
Sm1 0.250 0.250 0.250 1
Th1 0.070 0.659 0.121 1
Si1 0.019 0.615 0.618 1

***

4.
# PBE MgBr, relaxed
# E_tot = -2.45 eV per atom
# Uncorrected formation energy = -817 meV per atom
# Density = 2.5 g/cm³
data_MgBr
_chemical_formula_sum 'Mg6 Br6'
_symmetry_space_group_name_H-M 'P 63/m'
_symmetry_Int_Tables_number 176
_symmetry_space_group_name_Hall '-P 6c'
_cell_length_a 11.2903
_cell_length_b 11.2903
_cell_length_c 3.8113
_cell_angle_alpha 90.00
_cell_angle_beta 90.00
_cell_angle_gamma 120.00
loop_
_atom_site_label
_atom_site_fract_x
_atom_site_fract_y
_atom_site_fract_z
_atom_site_occupancy
Mg1 0.1645 0.6274 0.2500 1
Br1 0.0099 0.6517 0.7500 1

***

5.
# PBE NaTiBiMo2, relaxed
# E_tot = -5.75 eV per atom
# Energy relative to the elements = 1197 meV per atom
# Density = 6.5 g/cm³
data_NaTiBiMo2
_chemical_formula_sum 'Na1 Ti1 Bi1 Mo2'
_symmetry_space_group_name_H-M 'P 4/m m m'
_symmetry_Int_Tables_number 123
_symmetry_space_group_name_Hall '-P 4 2'
_cell_length_a 4.711
_cell_length_b 4.711
_cell_length_c 5.425
_cell_angle_alpha 90.00
_cell_angle_beta 90.00
_cell_angle_gamma 90.00
loop_
_atom_site_label
_atom_site_fract_x
_atom_site_fract_y
_atom_site_fract_z
_atom_site_occupancy
Na1 0.000 0.000 0.000 1
Ti1 0.500 0.500 0.500 1
Bi1 0.500 0.500 0.000 1
Mo1 0.000 0.500 0.500 1

***

6.
# PBE Pa2Al4GaPt3, relaxed
# E_tot = -6.34 eV per atom
# Energy relative to the elements = -830 meV per atom
# Density = 11.0 g/cm³
data_Pa2Al4GaPt3
_chemical_formula_sum 'Pa2 Al4 Ga1 Pt3'
_symmetry_space_group_name_H-M 'P -4 m 2'
_symmetry_Int_Tables_number 115
_cell_length_a 4.189
_cell_length_b 4.189
_cell_length_c 10.552
_cell_angle_alpha 90.00
_cell_angle_beta 90.00
_cell_angle_gamma 90.00
loop_
_symmetry_equiv_pos_as_xyz
'x,y,z'
'y,-x,-z'
'-x,-y,z'
'-y,x,-z'
'-x,y,z'
'-y,-x,-z'
'x,-y,z'
'y,x,-z'
loop_
_atom_site_label
_atom_site_fract_x
_atom_site_fract_y
_atom_site_fract_z
_atom_site_occupancy
Pa1 0.000 0.500 0.248 1
Al1 0.000 0.000 0.000 1
Al2 0.000 0.500 0.635 1
Al3 0.500 0.500 0.000 1
Ga1 0.000 0.000 0.500 1
Pt1 0.000 0.500 0.863 1
Pt2 0.500 0.500 0.500 1